# DyPuN

An optimized crystal structure of DyPuN (PBE, Alexandria).

Summary:
Relative energy among the computed polymorphs (eV per atom): 0.462
DOS(E_F) (states/eV/cell): 15.60
Crystal system: orthorhombic
Magnetization (μB per atom): 0.4303
Energy relative to the elements, uncorrected (kcal/mol of atoms): -8.63

Unit cell a=5.7777 b=3.2989 c=12.1266 alpha=90.00 beta=90.00 gamma=90.00
With the nearest neighbours (Å) after each atom.
Space group Pnma (No. 62)
One atom of each set of equivalent atoms:
Dy  0.1574  0.2500  0.2011 (multiplicity 4)  4 N 2.39-2.54
Pu  0.1226  0.2500  0.4680 (multiplicity 4)  2 Pu 2.31, 3 N 2.53-2.58
N  0.0497  0.2500  0.6738 (multiplicity 4)  4 Dy 2.39-2.54, 3 Pu 2.53-2.58